[1]
The following is a DFT calculation (GGA-PBE) of crystalline KY2Ni at its relaxed geometry.

Lattice parameters (Å, degrees): 6.343 6.343 6.343 139.32 139.32 58.88
Fractional coordinates of all 4 atoms:
1 Ni 0.750 0.250 0.500
2 Y 0.250 0.750 0.500
3 Y 0.000 0.000 0.000
4 K 0.500 0.500 0.000

- Energy of formation from the pure elements: 0.635 eV/atom
- Energy above the most stable polymorph in this dataset: 664 meV/atom
- SG: I-4m2

[2]
The following is a DFT calculation (GGA-PBE) of crystalline KYNi3 at its relaxed geometry.

Lattice parameters (Å, degrees): 5.024 5.024 5.024 90.00 90.00 90.00
Fractional coordinates of all 5 atoms:
1 Ni 0.000 0.000 0.500
2 Ni 0.000 0.500 0.000
3 Ni 0.500 0.000 0.000
4 K 0.500 0.500 0.500
5 Y 0.000 0.000 0.000

- Energy of formation from the pure elements: 1.010 eV/atom
- Energy above the most stable polymorph in this dataset: 0 meV/atom
- SG: Pm-3m

[3]
The following is a DFT calculation (GGA-PBE) of crystalline KY2Ni at its relaxed geometry.

Lattice parameters (Å, degrees): 4.163 4.163 9.433 77.45 77.45 57.79
Fractional coordinates of all 4 atoms:
1 K 0.512 0.512 0.500
2 Y 0.708 0.708 0.856
3 Y 0.951 0.951 0.143
4 Ni 0.329 0.329 0.000

- Energy of formation from the pure elements: 0.005 eV/atom
- Energy above the most stable polymorph in this dataset: 34 meV/atom
- SG: Cm

[4]
The following is a DFT calculation (GGA-PBE) of crystalline KY2Ni at its relaxed geometry.

Lattice parameters (Å, degrees): 5.146 5.146 4.031 90.00 90.00 90.02
Fractional coordinates of all 4 atoms:
1 Y 0.500 0.500 0.000
2 Y 0.000 0.000 0.000
3 K 0.500 0.000 0.500
4 Ni 0.000 0.500 0.500

- Energy of formation from the pure elements: 0.620 eV/atom
- Energy above the most stable polymorph in this dataset: 649 meV/atom
- SG: P4/mmm

[5]
The following is a DFT calculation (GGA-PBE) of crystalline K3YNi at its relaxed geometry.

Lattice parameters (Å, degrees): 6.154 6.154 6.154 90.00 90.00 90.00
Last column: magnetic moment on the atom in μB.
Fractional coordinates of all 5 atoms:
1 K 0.500 0.000 0.000  0.02
2 K 0.000 0.000 0.500  0.02
3 K 0.000 0.500 0.000  0.02
4 Ni 0.000 0.000 0.000  -0.26
5 Y 0.500 0.500 0.500  0.65

- Energy of formation from the pure elements: 0.917 eV/atom
- SG: Pm-3m

[6]
The following is a DFT calculation (GGA-PBE) of crystalline KY2Ni at its relaxed geometry.

Lattice parameters (Å, degrees): 10.694 10.694 10.694 160.63 159.88 28.07
Fractional coordinates of all 4 atoms:
1 Y 0.754 0.254 0.500
2 Y 0.107 0.107 0.000
3 Ni 0.202 0.702 0.500
4 K 0.437 0.437 0.000

- Energy of formation from the pure elements: 0.091 eV/atom
- Energy above the most stable polymorph in this dataset: 120 meV/atom
- SG: Imm2

[7]
The following is a DFT calculation (GGA-PBE) of crystalline KYNi4 at its relaxed geometry.

Lattice parameters (Å, degrees): 5.127 5.127 5.127 60.00 60.00 60.00
Fractional coordinates of all 6 atoms:
1 Ni 0.872 0.376 0.376
2 Ni 0.376 0.376 0.872
3 Ni 0.376 0.376 0.376
4 Ni 0.376 0.872 0.376
5 Y 0.750 0.750 0.750
6 K 0.000 0.000 0.000

- Energy of formation from the pure elements: 0.105 eV/atom
- SG: F-43m

[8]
The following is a DFT calculation (GGA-PBE) of crystalline KY2Ni at its relaxed geometry.

Lattice parameters (Å, degrees): 3.808 3.920 9.361 77.90 90.00 90.00
Fractional coordinates of all 4 atoms:
1 Y 0.000 0.981 0.914
2 Y 0.500 0.354 0.169
3 Ni 0.500 0.498 0.880
4 K 0.000 0.667 0.537

- Energy of formation from the pure elements: 0.085 eV/atom
- Energy above the most stable polymorph in this dataset: 114 meV/atom
- SG: Pm

Number 1: total moment 0.0 μB/cell. Number 2: total moment 0.0 μB/cell. Number 3: total moment 0.0 μB/cell. Number 4: total moment 0.0 μB/cell. Number 5: total moment 1.9 μB/cell. Number 6: total moment 0.0 μB/cell. Number 7: total moment 0.0 μB/cell. Number 8: total moment 0.0 μB/cell.